Entry from the Alexandria database: crystalline Ir2PtCl at its relaxed geometry (PBE).

Output
Total magnetic moment: 0.84 μB/f.u.
ΔE_f (raw): 380 kJ/mol of formula units
Relative energy among the computed polymorphs: 62.0 kJ per mole of atoms
N(E_F): 7.1 states/eV/cell
Theoretical density: 16.35 Mg/m³

```
Ir2PtCl
1.0
3.7439 1.6807 1.7292
0.4443 0.3670 4.4158
2.8330 -2.6549 2.1811
Pt Ir Cl
1 2 1
direct
0.5000 0.5000 0.5000 Pt
0.7500 0.7500 0.7500 Ir
0.2500 0.2500 0.2500 Ir
0.0000 0.0000 0.0000 Cl
```


Entry from the Alexandria database: crystalline Pm12Te3C5 at its relaxed geometry (PBE).

Output
Total magnetic moment: 0.00 μB/f.u.
ΔE_f (raw): -715 kJ/mol of formula units
N(E_F): 52.2 states/eV/cell
Theoretical density: 6.72 Mg/m³

```
Pm12Te3C5
1.0
14.1001 0.0000 0.0000
-4.7000 13.2937 0.0000
-4.7000 -6.6469 11.5127
Pm Te C
48 12 20
direct
0.9831 0.3880 0.3000 Pm
0.3000 0.8880 0.9831 Pm
0.1120 0.7000 0.5169 Pm
0.9120 0.0951 0.6120 Pm
0.5169 0.3169 0.9049 Pm
0.1831 0.0951 0.9831 Pm
0.4049 0.3880 0.5880 Pm
0.5880 0.8880 0.4049 Pm
0.9831 0.5951 0.1831 Pm
0.3880 0.4049 0.0880 Pm
0.3880 0.9831 0.8000 Pm
0.5169 0.2000 0.1120 Pm
0.4831 0.6831 0.0951 Pm
0.3169 0.8000 0.4120 Pm
0.8880 0.5880 0.9049 Pm
0.5951 0.6120 0.4120 Pm
0.2000 0.6831 0.0880 Pm
0.1831 0.0880 0.7000 Pm
0.7000 0.1120 0.0169 Pm
0.9120 0.8169 0.8000 Pm
0.3000 0.4120 0.8169 Pm
0.0951 0.9120 0.1120 Pm
0.6831 0.4831 0.5951 Pm
0.4831 0.8000 0.8880 Pm
0.4049 0.0169 0.3169 Pm
0.6831 0.2000 0.5880 Pm
0.5951 0.9831 0.6831 Pm
0.0880 0.1831 0.2000 Pm
0.6120 0.5951 0.9120 Pm
0.8880 0.3000 0.4831 Pm
0.0880 0.9049 0.3880 Pm
0.8000 0.3169 0.9120 Pm
0.4120 0.3000 0.3169 Pm
0.9049 0.0880 0.8880 Pm
0.8169 0.9049 0.0169 Pm
0.2000 0.5169 0.6120 Pm
0.8169 0.9120 0.3000 Pm
0.0169 0.6120 0.7000 Pm
0.0169 0.4049 0.8169 Pm
0.3169 0.5169 0.4049 Pm
0.5880 0.7000 0.6831 Pm
0.6120 0.0169 0.2000 Pm
0.0951 0.1831 0.4831 Pm
0.9049 0.8169 0.5169 Pm
0.7000 0.5880 0.1831 Pm
0.8000 0.4831 0.3880 Pm
0.1120 0.4120 0.0951 Pm
0.4120 0.1120 0.5951 Pm
0.1250 0.8750 0.7500 Te
0.6250 0.3750 0.7500 Te
0.6250 0.2500 0.3750 Te
0.2500 0.6250 0.8750 Te
0.1250 0.2500 0.8750 Te
0.8750 0.7500 0.1250 Te
0.8750 0.1250 0.2500 Te
0.2500 0.1250 0.3750 Te
0.7500 0.3750 0.1250 Te
0.3750 0.6250 0.2500 Te
0.3750 0.7500 0.6250 Te
0.7500 0.8750 0.6250 Te
0.7500 0.6250 0.3750 C
0.5000 0.5000 0.0000 C
0.3750 0.1250 0.7500 C
0.8750 0.2500 0.6250 C
0.5000 0.0000 0.0000 C
0.0000 0.5000 0.0000 C
0.1250 0.3750 0.2500 C
0.0000 0.0000 0.0000 C
0.5000 0.0000 0.5000 C
0.1250 0.7500 0.3750 C
0.2500 0.3750 0.6250 C
0.6250 0.8750 0.2500 C
0.3750 0.2500 0.1250 C
0.0000 0.0000 0.5000 C
0.7500 0.1250 0.8750 C
0.2500 0.8750 0.1250 C
0.8750 0.6250 0.7500 C
0.6250 0.7500 0.8750 C
0.5000 0.5000 0.5000 C
0.0000 0.5000 0.5000 C
```


Entry from the Alexandria database: crystalline Pb2WSe at its relaxed geometry (PBE).

Output
Total magnetic moment: 0.00 μB/f.u.
ΔE_f (raw): 266 kJ/mol of formula units
N(E_F): 1.8 states/eV/cell
Theoretical density: 11.38 Mg/m³

```
Pb2WSe
1.0
2.9812 0.0000 0.0000
0.0000 2.9812 0.0000
0.0000 0.0000 11.1171
Se Pb W
1 2 1
direct
0.5000 0.5000 0.2500 Se
0.0000 0.0000 0.5325 Pb
0.0000 0.0000 0.9675 Pb
0.5000 0.5000 0.7500 W
```


Entry from the Alexandria database: crystalline Nd6DyY3Ho2 at its relaxed geometry (PBE).

Output
Total magnetic moment: 0.00 μB/f.u.
E_tot: -5.137 eV/atom
N(E_F): 13.8 states/eV/cell
Theoretical density: 6.75 Mg/m³

```
Nd6DyY3Ho2
1.0
6.2822 -0.0005 0.0095
-3.1400 5.4411 0.0095
-1.0618 -1.8386 11.6774
Nd Y Ho Dy
6 3 2 1
direct
0.0834 0.4168 0.2487 Nd
0.9166 0.5832 0.7513 Nd
0.7500 0.7500 0.2487 Nd
0.2500 0.2500 0.7513 Nd
0.5832 0.9166 0.7513 Nd
0.4168 0.0834 0.2487 Nd
0.5000 0.5000 0.5000 Y
0.8333 0.1667 0.5000 Y
0.1667 0.8333 0.5000 Y
0.3334 0.6666 0.0000 Ho
0.6666 0.3334 0.0000 Ho
0.0000 0.0000 0.0000 Dy
```


Entry from the Alexandria database: crystalline Mg2Ga8Au at its relaxed geometry (PBE).

Output
Total magnetic moment: 0.00 μB/f.u.
Relative energy among the computed polymorphs: 0.0 kJ per mole of atoms
N(E_F): 2.6 states/eV/cell
Theoretical density: 6.35 Mg/m³

```
Mg2Ga8Au
1.0
-1.1355 -0.5848 4.1736
-2.8284 -3.0986 -1.2037
7.8915 -7.6223 1.0791
Mg Ga Au
2 8 1
direct
0.0000 0.0000 0.6767 Mg
0.0000 0.0000 0.3233 Mg
0.0000 0.5000 0.1426 Ga
0.5000 0.5000 0.3100 Ga
0.0000 0.5000 0.8574 Ga
0.5000 0.0000 0.5000 Ga
0.5000 0.5000 0.6900 Ga
0.5000 0.0000 0.1426 Ga
0.5000 0.0000 0.8574 Ga
0.0000 0.5000 0.5000 Ga
0.0000 0.0000 0.0000 Au
```


Entry from the Alexandria database: crystalline Ba2RuCl at its relaxed geometry (PBE).

Output
Total magnetic moment: 0.93 μB/f.u.
ΔE_f (raw): -69 kJ/mol of formula units
Relative energy among the computed polymorphs: 33.6 kJ per mole of atoms
N(E_F): 5.7 states/eV/cell
Theoretical density: 5.36 Mg/m³

```
Ba2RuCl
1.0
-5.7022 -4.2308 1.5084
-2.7168 -5.5558 -3.8003
6.0749 2.9280 2.6855
Ru Cl Ba
1 1 2
direct
0.7500 0.2500 0.5000 Ru
0.5000 0.5000 0.0000 Cl
0.2500 0.7500 0.5000 Ba
0.0000 0.0000 0.0000 Ba
```


Entry from the Alexandria database: crystalline CaZnW at its relaxed geometry (PBE).

Output
Total magnetic moment: 0.00 μB/f.u.
Relative energy among the computed polymorphs: 0.0 kJ per mole of atoms
N(E_F): 1.1 states/eV/cell
Theoretical density: 8.60 Mg/m³

```
CaZnW
1.0
-6.9914 -1.1043 -2.1182
-5.6057 -2.5619 -4.0693
-0.6029 -2.3722 1.3640
Ca W Zn
1 1 1
direct
0.0028 0.0028 0.9972 Ca
0.3209 0.3209 0.6791 W
0.6763 0.6763 0.3237 Zn
```


Entry from the Alexandria database: crystalline Tm3HfSe6 at its relaxed geometry (PBE).

Output
Total magnetic moment: 0.49 μB/f.u.
ΔE_f (raw): -1546 kJ/mol of formula units
N(E_F): 11.1 states/eV/cell
Theoretical density: 7.07 Mg/m³

```
Tm3HfSe6
1.0
8.1678 0.0121 0.0123
-0.1652 8.1661 0.0123
-0.1652 -0.1688 8.1644
Se Tm Hf
12 6 2
direct
0.6910 0.0762 0.9110 Se
0.0890 0.3090 0.9238 Se
0.5820 0.8133 0.4537 Se
0.4537 0.5820 0.8133 Se
0.4180 0.1867 0.5463 Se
0.5463 0.4180 0.1867 Se
0.9110 0.6910 0.0762 Se
0.1867 0.5463 0.4180 Se
0.9238 0.0890 0.3090 Se
0.3090 0.9238 0.0890 Se
0.0762 0.9110 0.6910 Se
0.8133 0.4537 0.5820 Se
0.4210 0.9129 0.7539 Tm
0.0871 0.2461 0.5790 Tm
0.7539 0.4210 0.9129 Tm
0.2461 0.5790 0.0871 Tm
0.9129 0.7539 0.4210 Tm
0.5790 0.0871 0.2461 Tm
0.0000 0.0000 0.0000 Hf
0.5000 0.5000 0.5000 Hf
```


Entry from the Alexandria database: crystalline Rb3HfMg at its relaxed geometry (PBE).

Output
Total magnetic moment: 5.00 μB/f.u.
Relative energy among the computed polymorphs: 0.0 kJ per mole of atoms
N(E_F): 4.2 states/eV/cell
Theoretical density: 2.16 Mg/m³

```
Rb3HfMg
1.0
7.0729 0.0000 0.0000
0.0000 7.0729 0.0000
0.0000 0.0000 7.0729
Hf Rb Mg
1 3 1
direct
0.0000 0.0000 0.0000 Hf
0.0000 0.5000 0.0000 Rb
0.0000 0.0000 0.5000 Rb
0.5000 0.0000 0.0000 Rb
0.5000 0.5000 0.5000 Mg
```


Entry from the Alexandria database: crystalline UPaMoC3 at its relaxed geometry (PBE).

Output
Total magnetic moment: 0.43 μB/f.u.
E_tot: -9.855 eV/atom
N(E_F): 9.9 states/eV/cell
Theoretical density: 10.61 Mg/m³

```
UPaMoC3
1.0
-2.5942 0.5777 1.9087
4.2676 -0.3998 5.9212
0.9940 7.7669 -0.9998
C Pa Mo U
6 2 2 2
direct
0.7500 0.8700 0.1397 C
0.2500 0.1300 0.8603 C
0.2500 0.5971 0.8892 C
0.7500 0.4029 0.1108 C
0.2500 0.8236 0.5810 C
0.7500 0.1764 0.4190 C
0.2500 0.1484 0.1742 Pa
0.7500 0.8516 0.8258 Pa
0.2500 0.1216 0.5802 Mo
0.7500 0.8784 0.4198 Mo
0.2500 0.6313 0.1704 U
0.7500 0.3687 0.8296 U
```


Entry from the Alexandria database: crystalline CeDyAlRu at its relaxed geometry (PBE).

Output
Total magnetic moment: 0.17 μB/f.u.
E_tot: -6.164 eV/atom
N(E_F): 4.6 states/eV/cell
Theoretical density: 8.14 Mg/m³

```
CeDyAlRu
1.0
4.9908 0.0000 0.0000
2.4954 4.3222 0.0000
2.4954 1.4407 4.0750
Ru Al Dy Ce
1 1 1 1
direct
0.7500 0.7500 0.7500 Ru
0.2500 0.2500 0.2500 Al
0.5000 0.5000 0.5000 Dy
0.0000 0.0000 0.0000 Ce
```


Entry from the Alexandria database: crystalline AcCu2H7 at its relaxed geometry (PBE).

Output
Total magnetic moment: 0.00 μB/f.u.
E_tot: -3.574 eV/atom
N(E_F): 1.7 states/eV/cell
Theoretical density: 6.66 Mg/m³

```
AcCu2H7
1.0
3.6747 0.0000 0.0000
0.0000 5.4951 -0.4903
0.0000 -2.8641 4.7152
H Cu Ac
7 2 1
direct
0.5000 0.0342 0.3234 H
0.5000 0.6766 0.9658 H
0.5000 0.5000 0.5000 H
0.0000 0.6667 0.3333 H
0.0000 0.3333 0.6667 H
0.5000 0.9658 0.6766 H
0.5000 0.3234 0.0342 H
0.5000 0.3328 0.6672 Cu
0.5000 0.6672 0.3328 Cu
0.0000 0.0000 0.0000 Ac
```


Entry from the Alexandria database: crystalline Ac3Zn3Pb2 at its relaxed geometry (PBE).

Output
Total magnetic moment: 0.00 μB/f.u.
E_tot: -3.307 eV/atom
N(E_F): 12.8 states/eV/cell
Theoretical density: 8.68 Mg/m³

```
Ac3Zn3Pb2
1.0
4.6714 0.0000 0.0000
-2.3357 6.2272 0.0000
0.0000 0.0000 16.9788
Zn Ac Pb
6 6 4
direct
0.4362 0.8724 0.5543 Zn
0.5638 0.1276 0.4457 Zn
0.5638 0.1276 0.0543 Zn
0.6917 0.3835 0.7500 Zn
0.3083 0.6165 0.2500 Zn
0.4362 0.8724 0.9457 Zn
0.1358 0.2716 0.9037 Ac
0.8642 0.7284 0.4037 Ac
0.5711 0.1423 0.2500 Ac
0.8642 0.7284 0.0963 Ac
0.1358 0.2716 0.5963 Ac
0.4289 0.8577 0.7500 Ac
0.8394 0.6787 0.8876 Pb
0.1606 0.3213 0.1124 Pb
0.1606 0.3213 0.3876 Pb
0.8394 0.6787 0.6124 Pb
```


Entry from the Alexandria database: crystalline Ca3Np2Ru4 at its relaxed geometry (PBE).

Output
Total magnetic moment: 4.30 μB/f.u.
E_tot: -7.721 eV/atom
N(E_F): 16.6 states/eV/cell
Theoretical density: 7.93 Mg/m³

```
Ca3Np2Ru4
1.0
4.2078 0.0000 0.0000
-2.1039 5.4650 -1.4198
0.0000 0.2463 9.0273
Np Ru Ca
2 4 3
direct
0.3295 0.6590 0.2218 Np
0.6705 0.3410 0.7782 Np
0.2662 0.5324 0.9052 Ru
0.7338 0.4676 0.0948 Ru
0.9125 0.8251 0.3643 Ru
0.0875 0.1749 0.6357 Ru
0.3723 0.7446 0.6165 Ca
0.6277 0.2554 0.3835 Ca
0.0000 0.0000 0.0000 Ca
```


Entry from the Alexandria database: crystalline GdHoSc at its relaxed geometry (PBE).

Output
Total magnetic moment: 7.21 μB/f.u.
Relative energy among the computed polymorphs: 0.4 kJ per mole of atoms
N(E_F): 4.4 states/eV/cell
Theoretical density: 6.98 Mg/m³

```
GdHoSc
1.0
3.4670 0.0000 0.0000
-1.7335 3.0025 0.0000
0.0000 0.0000 8.3915
Gd Sc Ho
1 1 1
direct
0.0000 0.0000 0.9913 Gd
0.3333 0.6667 0.6645 Sc
0.6667 0.3333 0.3442 Ho
```


Entry from the Alexandria database: crystalline TmThBe2Pt5 at its relaxed geometry (PBE).

Output
Total magnetic moment: 0.00 μB/f.u.
E_tot: -6.479 eV/atom
N(E_F): 2.5 states/eV/cell
Theoretical density: 15.20 Mg/m³

```
TmThBe2Pt5
1.0
4.0982 0.0000 0.0000
0.0000 4.0982 0.0000
0.0000 0.0000 9.0703
Be Pt Th Tm
2 5 1 1
direct
0.5000 0.5000 0.1293 Be
0.5000 0.5000 0.8707 Be
0.5000 0.0000 0.7507 Pt
0.0000 0.5000 0.7507 Pt
0.5000 0.0000 0.2493 Pt
0.0000 0.5000 0.2493 Pt
0.5000 0.5000 0.5000 Pt
0.0000 0.0000 0.5000 Th
0.0000 0.0000 0.0000 Tm
```


Entry from the Alexandria database: crystalline K2SiHg at its relaxed geometry (PBE).

Output
Total magnetic moment: 0.00 μB/f.u.
ΔE_f (raw): 98 kJ/mol of formula units
Relative energy among the computed polymorphs: 26.0 kJ per mole of atoms
N(E_F): 2.5 states/eV/cell
Theoretical density: 4.15 Mg/m³

```
K2SiHg
1.0
6.1452 0.7187 0.0000
1.6342 5.9673 0.0000
-3.8897 -3.3430 3.4604
Si K Hg
1 2 1
direct
0.2500 0.7500 0.5000 Si
0.5000 0.5000 0.0000 K
0.0000 0.0000 0.0000 K
0.7500 0.2500 0.5000 Hg
```


Entry from the Alexandria database: crystalline Be2GaPb2 at its relaxed geometry (PBE).

Output
Total magnetic moment: 0.00 μB/f.u.
Relative energy among the computed polymorphs: 14.7 kJ per mole of atoms
N(E_F): 2.3 states/eV/cell
Theoretical density: 7.51 Mg/m³

```
Be2GaPb2
1.0
4.6466 0.0000 0.0000
0.0000 4.6466 0.0000
2.3233 2.3233 5.1452
Pb Be Ga
2 2 1
direct
0.7500 0.2500 0.5000 Pb
0.2500 0.7500 0.5000 Pb
0.6027 0.6027 0.7946 Be
0.3973 0.3973 0.2054 Be
0.0000 0.0000 0.0000 Ga
```


Entry from the Alexandria database: crystalline LiLa4Y4 at its relaxed geometry (PBE).

Output
Total magnetic moment: 0.00 μB/f.u.
E_tot: -4.995 eV/atom
N(E_F): 12.5 states/eV/cell
Theoretical density: 5.07 Mg/m³

```
LiLa4Y4
1.0
10.0718 0.0000 -5.7903
-1.8663 5.3293 -3.2463
-2.4818 -0.3795 7.3379
Y La Li
4 4 1
direct
0.6168 0.0968 0.7246 Y
0.8922 0.9032 0.2754 Y
0.1078 0.6278 0.7246 Y
0.3832 0.3722 0.2754 Y
0.3249 0.3249 0.6498 La
0.5000 0.0000 0.0000 La
0.0000 0.5000 0.0000 La
0.6751 0.6751 0.3502 La
0.0000 0.0000 0.0000 Li
```


Entry from the Alexandria database: crystalline Sm3Co2Ni4 at its relaxed geometry (PBE).

Output
Total magnetic moment: 0.46 μB/f.u.
E_tot: -5.977 eV/atom
N(E_F): 15.3 states/eV/cell
Theoretical density: 8.24 Mg/m³

```
Sm3Co2Ni4
1.0
-1.5977 -3.3382 1.4242
2.5002 2.1133 2.2377
-18.3075 12.4660 8.6819
Sm Ni Co
6 8 4
direct
0.3333 0.6667 0.5826 Sm
0.3333 0.6667 0.2507 Sm
0.3333 0.6667 0.9146 Sm
0.3333 0.6667 0.4186 Sm
0.3333 0.6667 0.0827 Sm
0.3333 0.6667 0.7507 Sm
0.0000 0.0000 0.6668 Ni
0.6667 0.3333 0.5005 Ni
0.0000 0.0000 0.9988 Ni
0.6667 0.3333 0.3344 Ni
0.6667 0.3333 0.6668 Ni
0.0000 0.0000 0.3346 Ni
0.6667 0.3333 0.8326 Ni
0.6667 0.3333 0.9990 Ni
0.6667 0.3333 0.1666 Co
0.0000 0.0000 0.8327 Co
0.0000 0.0000 0.5005 Co
0.0000 0.0000 0.1667 Co
```